# 1
The following is a PBE calculation of an optimized crystal structure of LiNbIr2Ru, from Alexandria via LeMat-Bulk.

Structure (CIF):
```
data_LiNbIr2Ru
_chemical_formula_sum 'Li1 Nb1 Ir2 Ru1'
_space_group_name_H-M_alt 'P 4/m m m'
_space_group_IT_number 123
_space_group_name_Hall '-P 4 2'
_cell_length_a 4.778
_cell_length_b 4.778
_cell_length_c 4.721
_cell_angle_alpha 90.00
_cell_angle_beta 90.00
_cell_angle_gamma 90.00
loop_
_atom_site_label
_atom_site_fract_x
_atom_site_fract_y
_atom_site_fract_z
Li1 0.000 0.000 0.000
Nb1 0.500 0.500 0.000
Ir1 0.000 0.500 0.500
Ru1 0.500 0.500 0.500
```

Calculated values
Its formation energy is 6.23 eV per formula unit. The density comes out at 9017 kg/m³. The energy comes out at -6.5503 eV per atom.



# 2
The following is a PBE calculation of an optimized crystal structure of NdYLuTh, from Alexandria via LeMat-Bulk.

Structure (CIF):
```
data_NdYLuTh
_chemical_formula_sum 'Nd4 Y4 Lu4 Th4'
_space_group_name_H-M_alt 'F -4 3 m'
_space_group_IT_number 216
_space_group_name_Hall 'F -4 2 3'
_cell_length_a 8.043
_cell_length_b 8.043
_cell_length_c 8.043
_cell_angle_alpha 90.00
_cell_angle_beta 90.00
_cell_angle_gamma 90.00
loop_
_atom_site_label
_atom_site_fract_x
_atom_site_fract_y
_atom_site_fract_z
Nd1 0.000 0.000 0.000
Y1 0.250 0.250 0.750
Lu1 0.250 0.250 0.250
Th1 0.000 0.000 0.500
```

Calculated values
Its formation energy is 0.48 eV per formula unit. The density comes out at 8174 kg/m³. The energy comes out at -5.6720 eV per atom.



# 3
The following is a PBE calculation of an optimized crystal structure of PuHf2Co, from Alexandria via LeMat-Bulk.

Structure (CIF):
```
data_PuHf2Co
_chemical_formula_sum 'Pu3 Hf6 Co3'
_space_group_name_H-M_alt 'R 3 m'
_space_group_IT_number 160
_space_group_name_Hall 'R 3 -2"'
_cell_length_a 3.3871
_cell_length_b 3.3871
_cell_length_c 25.7415
_cell_angle_alpha 90.00
_cell_angle_beta 90.00
_cell_angle_gamma 120.00
loop_
_atom_site_label
_atom_site_fract_x
_atom_site_fract_y
_atom_site_fract_z
Pu1 0.0000 0.0000 0.0000
Hf1 0.0000 0.0000 0.2301
Hf2 0.0000 0.0000 0.4402
Co1 0.0000 0.0000 0.8357
```

Calculated values
Its formation energy is 0.38 eV per formula unit. The density comes out at 12854 kg/m³. The energy comes out at -10.2407 eV per atom. As for the energy above the most stable polymorph in this dataset: 199 meV/atom.